PBE K3TbNd2Se6, optimized geometry; formation energy without anion corrections = -1757 meV/atom
1.0
3.733 -6.466 0.000
3.733 6.466 0.000
-2.490 0.000 7.703
K Tb Nd Se
3 1 2 6
direct
0.000 0.000 0.000
0.332 0.668 0.000
0.668 0.332 0.000
0.500 0.500 0.500
0.167 0.833 0.500
0.833 0.167 0.500
0.104 0.430 0.291
0.243 0.243 0.709
0.430 0.104 0.291
0.570 0.896 0.709
0.757 0.757 0.291
0.896 0.570 0.709